(1)
A relaxed KNa2MgH5 crystal, computed with GGA-PBE.

Cell: 3.8299 5.8636 11.1237 Å, 90.00 90.00 90.00°
Space group Immm (No. 71)
Asymmetric unit:
K 0.0000 0.0000 0.0000
Na 0.0000 0.5000 0.2169
Mg 0.0000 0.0000 0.5000
H 0.0000 0.2330 0.3687
H 0.0000 0.5000 0.0000

Results
The calculation puts the density at 1.52 g/cm³.



(2)
A relaxed LaHoTmLu crystal, computed with GGA-PBE.

Cell: 8.0237 8.0237 8.0237 Å, 90.00 90.00 90.00°
Space group F-43m (No. 216)
Asymmetric unit:
La 0.0000 0.0000 0.0000
Ho 0.0000 0.0000 0.5000
Tm 0.2500 0.2500 0.2500
Lu 0.2500 0.2500 0.7500

Results
As for the formation energy from the elements: 0.093 eV per atom. The calculation puts the density at 8.33 g/cm³.



(3)
A relaxed CaAc2Pb crystal, computed with GGA-PBE.

Cell: 5.3767 5.3767 5.1644 Å, 90.00 90.00 90.00°
Space group P4/mmm (No. 123)
Asymmetric unit:
Ca 0.0000 0.0000 0.0000
Ac 0.0000 0.5000 0.5000
Pb 0.5000 0.5000 0.0000

Results
As for the formation energy from the elements: -0.257 eV per atom. As for the energy above the most stable polymorph in this dataset: 0.0 meV per atom. The calculation puts the density at 7.80 g/cm³.



(4)
A relaxed CsLiBr2 crystal, computed with GGA-PBE.

Cell: 4.4440 5.0125 7.7365 Å, 92.13 90.14 90.01°
Space group P1 (No. 1)
Asymmetric unit:
Cs 0.0000 0.0000 0.0000
Li 0.5047 0.4904 0.4980
Br 0.0051 0.4783 0.6490
Br 0.5011 0.5107 0.1813

Results
The energy relative to the elements, uncorrected comes out at -37.03 kcal/mol of atoms. The calculation puts the density at 2.89 g/cm³.



(5)
A relaxed RbFeCN2 crystal, computed with GGA-PBE.

Cell: 3.6579 3.6579 4.7933 Å, 90.00 90.00 90.00°
Space group P4/mmm (No. 123)
Asymmetric unit:
Rb 0.0000 0.0000 0.0000
Fe 0.5000 0.5000 0.0000
C 0.0000 0.0000 0.5000
N 0.0000 0.5000 0.5000

Results
The energy relative to the elements, uncorrected comes out at 69.10 kcal/mol of atoms. The calculation puts the density at 4.70 g/cm³.



(6)
A relaxed RbTmPbBr6 crystal, computed with GGA-PBE.

Cell: 7.6282 7.6282 7.4873 Å, 90.00 90.00 120.00°
Space group P312 (No. 149)
Asymmetric unit:
Rb 0.0000 0.0000 0.0000
Tm 0.6667 0.3333 0.5000
Pb 0.3333 0.6667 0.5000
Br 0.3831 0.0269 0.7181

Results
The energy relative to the elements, uncorrected comes out at -35.89 kcal/mol of atoms. The calculation puts the density at 4.14 g/cm³.



no.,total magnetic moment (μB per formula unit),total energy (eV/atom),DOS at the Fermi energy (states/eV/cell)
1,0.000,-2.68,0.00
2,0.041,-4.53,20.38
3,0.000,-3.74,4.17
4,0.002,-3.13,0.00
5,3.235,-4.06,5.32
6,0.000,-3.69,0.00